A geometry-optimized FeCu3Se structure, computed with PBE.

Geometry as POSCAR:
```
FeCu3Se
1.0
4.514 0.000 0.000
0.000 4.514 0.000
0.000 0.000 4.514
Fe Cu Se
1 3 1
Direct
0.000 0.000 0.000
0.000 0.500 0.500
0.500 0.000 0.500
0.500 0.500 0.000
0.500 0.500 0.500
```

Calculated values
The value obtained for the energy above the most stable polymorph in this dataset is 0.0000 eV/atom. The uncorrected formation energy is 0.927 eV/atom. Its mass density is 5.87 g/cm³. The space-group type is Pm-3m (221). The total magnetic moment is 0.628 μB per atom.